Entry 1:
## CdHF3 (GGA-PBE)

Data for crystalline CdHF3 at its relaxed geometry.

abc: 3.573 3.573 3.573
angles: 90.00 90.00 90.00
Element x y z (fractional)
1 H 0.000 0.000 0.000
2 F 0.000 0.500 0.000
3 F 0.000 0.000 0.500
4 F 0.500 0.000 0.000
5 Cd 0.500 0.500 0.500

Computed properties:
Final energy   -3.28 eV/atom
V   9.12 Å³ per atom
Total magnetization   0.00 μB/f.u.
Fermi-level density of states   0.000 states/eV/cell
ρ   6.21 g/cm3

Entry 2:
## Cd3H4F4 (GGA-PBE)

Data for crystalline Cd3H4F4 at its relaxed geometry.

abc: 4.787 5.711 6.912
angles: 57.74 108.19 101.01
Element x y z (fractional)
1 Cd 0.858 0.163 0.024
2 Cd 0.142 0.837 0.976
3 Cd 0.000 0.500 0.500
4 H 0.548 0.953 0.501
5 H 0.444 0.504 0.946
6 H 0.452 0.047 0.499
7 H 0.556 0.496 0.054
8 F 0.991 0.641 0.746
9 F 0.009 0.359 0.254
10 F 0.594 0.742 0.267
11 F 0.406 0.258 0.733

Computed properties:
Final energy   -3.23 eV/atom
V   13.80 Å³ per atom
Total magnetization   0.00 μB/f.u.
ρ   4.57 g/cm3

Entry 3:
## Cd3HF6 (GGA-PBE)

Data for crystalline Cd3HF6 at its relaxed geometry.

abc: 5.937 7.302 7.302
angles: 102.57 90.00 90.00
Element x y z (fractional)
1 Cd 0.508 0.909 0.665
2 Cd 0.008 0.665 0.909
3 Cd 0.436 0.406 0.594
4 Cd 0.936 0.594 0.406
5 Cd 0.008 0.091 0.335
6 Cd 0.508 0.335 0.091
7 H 0.856 0.095 0.905
8 H 0.356 0.905 0.095
9 F 0.213 0.699 0.642
10 F 0.713 0.642 0.699
11 F 0.285 0.442 0.891
12 F 0.785 0.891 0.442
13 F 0.963 0.018 0.982
14 F 0.717 0.177 0.823
15 F 0.217 0.823 0.177
16 F 0.463 0.982 0.018
17 F 0.285 0.109 0.558
18 F 0.785 0.558 0.109
19 F 0.213 0.358 0.301
20 F 0.713 0.301 0.358

Computed properties:
Final energy   -3.62 eV/atom
V   15.45 Å³ per atom
Total magnetization   0.00 μB/f.u.
Fermi-level density of states   2.688 states/eV/cell
ρ   4.86 g/cm3